A PBEsol-optimized structure of TaCoP2S, computed with SCAN.

a b c (Å): 4.1895 4.1895 4.3805
angles (deg): 90.00 90.00 90.00
Positions (direct):
P  0.0000  0.5000  0.0000
P  0.5000  0.0000  0.0000
S  0.0000  0.0000  0.5000
Co  0.0000  0.0000  0.0000
Ta  0.5000  0.5000  0.5000

Properties
Crystal system: tetragonal
SG: P4/mmm (123)
ΔE_f (raw) (meV per atom): 743

---

A PBEsol-optimized structure of InTcCl2, computed with SCAN.

a b c (Å): 3.2858 5.0577 5.0577
angles (deg): 90.00 90.00 90.00
Site moments in Bohr magnetons follow the coordinates.
Positions (direct):
Cl  0.0000  0.0000  0.5000  0.07
Cl  0.0000  0.5000  0.0000  0.07
Tc  0.5000  0.0000  0.0000  3.60
In  0.5000  0.5000  0.5000  0.01

Properties
Crystal system: tetragonal
SG: P4/mmm (123)
ΔE_f (raw) (meV per atom): 221

---

A PBEsol-optimized structure of YCdReSi2, computed with SCAN.

a b c (Å): 4.5862 4.5862 5.1343
angles (deg): 90.00 90.00 90.00
Positions (direct):
Y  0.5000  0.5000  0.5000
Re  0.0000  0.0000  0.0000
Si  0.0000  0.5000  0.0000
Si  0.5000  0.0000  0.0000
Cd  0.0000  0.0000  0.5000

Properties
Crystal system: tetragonal
SG: P4/mmm (123)
ΔE_f (raw) (meV per atom): 178

---

A PBEsol-optimized structure of Sr4CaFe5O15, computed with SCAN.

a b c (Å): 3.7692 8.4247 8.4247
angles (deg): 90.00 90.00 90.00
Site moments in Bohr magnetons follow the coordinates.
Positions (direct):
Sr  0.0000  0.6002  0.8008  0.01
Sr  0.0000  0.1992  0.6002  0.01
Sr  0.0000  0.8008  0.3998  0.01
Sr  0.0000  0.3998  0.1992  0.01
Ca  0.0000  0.0000  0.0000  0.01
Fe  0.5000  0.5000  0.5000  3.22
Fe  0.5000  0.0994  0.2980  3.19
Fe  0.5000  0.7020  0.0994  3.19
Fe  0.5000  0.2980  0.9006  3.19
Fe  0.5000  0.9006  0.7020  3.19
O  0.0000  0.5000  0.5000  0.14
O  0.5000  0.5000  0.0000  0.13
O  0.5000  0.0000  0.5000  0.13
O  0.0000  0.0983  0.2951  0.13
O  0.0000  0.7049  0.0983  0.13
O  0.0000  0.2951  0.9017  0.13
O  0.0000  0.9017  0.7049  0.13
O  0.5000  0.7002  0.6018  0.14
O  0.5000  0.2998  0.3982  0.14
O  0.5000  0.6018  0.2998  0.14
O  0.5000  0.3982  0.7002  0.14
O  0.5000  0.9021  0.1962  0.14
O  0.5000  0.0979  0.8038  0.14
O  0.5000  0.1962  0.0979  0.14
O  0.5000  0.8038  0.9021  0.14

Properties
Crystal system: tetragonal
SG: P4/m (83)
ΔE_f (raw) (meV per atom): -2305

---

A PBEsol-optimized structure of Tc2SbAs, computed with SCAN.

a b c (Å): 3.0401 5.0793 5.0793
angles (deg): 107.03 105.98 105.98
Positions (direct):
Sb  0.5000  0.5000  0.5000
As  0.5000  0.0000  0.0000
Tc  0.0000  0.5000  0.0000
Tc  0.0000  0.0000  0.5000

Properties
Crystal system: monoclinic
SG: C2/m (12)
ΔE_f (raw) (meV per atom): 545

---

A PBEsol-optimized structure of Y2Te2F, computed with SCAN.

a b c (Å): 5.9170 5.9170 6.6166
angles (deg): 116.56 116.56 90.00
Positions (direct):
Y  0.7935  0.7935  0.5870
Y  0.2065  0.2065  0.4130
Te  0.2500  0.7500  0.5000
Te  0.7500  0.2500  0.5000
F  0.0000  0.0000  0.0000

Properties
Crystal system: tetragonal
SG: I4/mmm (139)
ΔE_f (raw) (meV per atom): -2019

---

A PBEsol-optimized structure of HfGaSe3, computed with SCAN.

a b c (Å): 4.7856 4.7856 4.7856
angles (deg): 90.00 90.00 90.00
Positions (direct):
Hf  0.5000  0.5000  0.5000
Ga  0.0000  0.0000  0.0000
Se  0.0000  0.5000  0.0000
Se  0.0000  0.0000  0.5000
Se  0.5000  0.0000  0.0000

Properties
Crystal system: cubic
SG: Pm-3m (221)
ΔE_f (raw) (meV per atom): 193

---

A PBEsol-optimized structure of HgTeP2S, computed with SCAN.

a b c (Å): 4.9589 5.0752 5.0752
angles (deg): 90.00 90.00 90.00
Site moments in Bohr magnetons follow the coordinates.
Positions (direct):
P  0.0000  0.0000  0.5000  -0.34
P  0.0000  0.5000  0.0000  -0.34
S  0.5000  0.0000  0.0000  -0.14
Te  0.0000  0.0000  0.0000  -0.01
Hg  0.5000  0.5000  0.5000  -0.01

Properties
Crystal system: tetragonal
SG: P4/mmm (123)
ΔE_f (raw) (meV per atom): 1070

---

A PBEsol-optimized structure of FeH2F, computed with SCAN.

a b c (Å): 3.8052 4.4038 4.4038
angles (deg): 79.24 64.40 64.40
Site moments in Bohr magnetons follow the coordinates.
Positions (direct):
H  0.0228  0.1022  0.6022  -0.05
H  0.7272  0.8978  0.3978  -0.05
H  0.3750  0.6022  0.8978  -0.05
H  0.8750  0.3978  0.1022  -0.05
Fe  0.7500  0.5000  0.5000  2.98
Fe  0.0000  0.0000  0.0000  2.98
F  0.2500  0.5000  0.5000  0.09
F  0.5000  0.0000  0.0000  0.09

Properties
Crystal system: tetragonal
SG: I-42d (122)
Electronic total energy (eV for the cell shown): -59.93

---

A PBEsol-optimized structure of CrIr2W, computed with SCAN.

a b c (Å): 2.7073 4.6517 4.6517
angles (deg): 109.28 90.00 90.00
Site moments in Bohr magnetons follow the coordinates.
Positions (direct):
Cr  0.5000  0.5000  0.5000  2.00
Ir  0.0000  0.5000  0.0000  -0.16
Ir  0.0000  0.0000  0.5000  -0.16
W  0.5000  0.0000  0.0000  -0.21

Properties
Crystal system: orthorhombic
Formation energy from the elements (eV per atom): -0.300
SG: Cmmm (65)

---

A PBEsol-optimized structure of Cu3BPb, computed with SCAN.

a b c (Å): 4.1096 4.1096 4.1096
angles (deg): 90.00 90.00 90.00
Positions (direct):
Pb  0.5000  0.5000  0.5000
B  0.0000  0.0000  0.0000
Cu  0.0000  0.5000  0.0000
Cu  0.0000  0.0000  0.5000
Cu  0.5000  0.0000  0.0000

Properties
Crystal system: cubic
Formation energy from the elements (eV per atom): 0.320
SG: Pm-3m (221)

---

A PBEsol-optimized structure of KTa3P, computed with SCAN.

a b c (Å): 4.5521 4.5521 4.5521
angles (deg): 90.00 90.00 90.00
Positions (direct):
P  0.5000  0.5000  0.5000
K  0.0000  0.0000  0.0000
Ta  0.0000  0.5000  0.0000
Ta  0.0000  0.0000  0.5000
Ta  0.5000  0.0000  0.0000

Properties
Crystal system: cubic
Formation energy from the elements (eV per atom): 3.280
SG: Pm-3m (221)

---

A PBEsol-optimized structure of Te2HIr2, computed with SCAN.

a b c (Å): 3.1605 7.6040 7.6040
angles (deg): 90.00 90.00 90.00
Site moments in Bohr magnetons follow the coordinates.
Positions (direct):
H  0.0000  0.0000  0.0000  0.28
H  0.0000  0.5000  0.5000  0.28
Ir  0.0000  0.3711  0.8711  0.05
Ir  0.0000  0.8711  0.6289  0.05
Ir  0.0000  0.6289  0.1289  0.05
Ir  0.0000  0.1289  0.3711  0.05
Te  0.5000  0.1656  0.6656  0.02
Te  0.5000  0.6656  0.8344  0.02
Te  0.5000  0.8344  0.3344  0.02
Te  0.5000  0.3344  0.1656  0.02

Properties
Crystal system: tetragonal
SG: P4/mbm (127)
Electronic total energy (eV for the cell shown): -432.68

---

A PBEsol-optimized structure of Sc2H5, computed with SCAN.

a b c (Å): 3.2958 5.6581 5.9096
angles (deg): 90.00 90.00 90.00
Positions (direct):
Sc  0.5000  0.9124  0.0000
Sc  0.0000  0.4240  0.0000
Sc  0.0000  0.0876  0.5000
Sc  0.5000  0.5760  0.5000
H  0.5000  0.2449  0.5000
H  0.5000  0.8973  0.3411
H  0.5000  0.8973  0.6589
H  0.0000  0.1027  0.1589
H  0.0000  0.1027  0.8411
H  0.0000  0.4364  0.3425
H  0.0000  0.4364  0.6575
H  0.0000  0.7551  0.0000
H  0.5000  0.5636  0.1575
H  0.5000  0.5636  0.8425

Properties
Crystal system: orthorhombic
SG: Pmmn (59)
Electronic total energy (eV for the cell shown): -99.50

---

A PBEsol-optimized structure of Pt2PbW, computed with SCAN.

a b c (Å): 3.1968 3.1968 6.9517
angles (deg): 90.00 90.00 90.00
Positions (direct):
Pb  0.5000  0.5000  0.7609
Pt  0.0000  0.0000  0.0310
Pt  0.5000  0.5000  0.2608
W  0.0000  0.0000  0.4472

Properties
Crystal system: tetragonal
Formation energy from the elements (eV per atom): 0.329
SG: P4mm (99)

---

A PBEsol-optimized structure of ZrTcPS2, computed with SCAN.

a b c (Å): 4.8247 4.8247 5.0221
angles (deg): 90.00 90.00 90.00
Site moments in Bohr magnetons follow the coordinates.
Positions (direct):
P  0.0000  0.0000  0.5000  -0.15
S  0.0000  0.5000  0.0000  -0.03
S  0.5000  0.0000  0.0000  -0.03
Tc  0.5000  0.5000  0.5000  4.23
Zr  0.0000  0.0000  0.0000  0.06

Properties
Crystal system: tetragonal
SG: P4/mmm (123)
ΔE_f (raw) (meV per atom): 262

---

A PBEsol-optimized structure of ReGe2POs, computed with SCAN.

a b c (Å): 4.6537 4.6537 4.7999
angles (deg): 90.00 90.00 90.00
Positions (direct):
Re  0.0000  0.0000  0.0000
Ge  0.0000  0.5000  0.0000
Ge  0.5000  0.0000  0.0000
Os  0.0000  0.0000  0.5000
P  0.5000  0.5000  0.5000

Properties
Crystal system: tetragonal
Formation energy from the elements (eV per atom): 1.394
SG: P4/mmm (123)

---

A PBEsol-optimized structure of Na2CoSi4O10, computed with SCAN.

a b c (Å): 6.9709 7.6768 9.7776
angles (deg): 101.49 102.93 115.05
Site moments in Bohr magnetons follow the coordinates.
Positions (direct):
Na  0.6581  0.7585  0.9781  0.00
Na  0.7392  0.2766  0.4215  0.00
Na  0.2608  0.7234  0.5785  0.00
Na  0.3419  0.2415  0.0219  0.00
Co  0.7537  0.6906  0.5795  2.67
Co  0.2463  0.3093  0.4205  2.67
Si  0.0889  0.7118  0.8608  0.00
Si  0.9111  0.2882  0.1392  0.00
Si  0.2374  0.9377  0.1980  0.00
Si  0.7626  0.0623  0.8020  0.00
Si  0.3927  0.6366  0.2614  0.00
Si  0.1897  0.3800  0.7510  0.00
Si  0.8103  0.6200  0.2490  0.00
Si  0.6073  0.3634  0.7386  0.00
O  0.9852  0.7968  0.1998  0.00
O  0.0148  0.2032  0.8002  0.00
O  0.8484  0.5438  0.8661  0.00
O  0.1516  0.4562  0.1339  0.00
O  0.5747  0.6265  0.1821  0.00
O  0.4253  0.3735  0.8179  0.00
O  0.2512  0.6049  0.8614  0.00
O  0.7488  0.3951  0.1386  0.00
O  0.8840  0.6411  0.4201  0.04
O  0.1160  0.3589  0.5799  0.04
O  0.4338  0.6041  0.4203  0.06
O  0.5662  0.3959  0.5797  0.06
O  0.0584  0.7894  0.7227  0.05
O  0.9416  0.2106  0.2773  0.05
O  0.7883  0.0998  0.9797  0.00
O  0.2117  0.9002  0.0203  0.00
O  0.5944  0.1419  0.7254  0.00
O  0.4056  0.8581  0.2746  0.00
O  0.3464  0.1775  0.2752  0.04
O  0.6536  0.8225  0.7248  0.04

Properties
Crystal system: triclinic
SG: P-1 (2)
ΔE_f (raw) (meV per atom): -2666

---

A PBEsol-optimized structure of Cd2CuRh, computed with SCAN.

a b c (Å): 3.0049 4.5963 5.1551
angles (deg): 110.30 106.94 90.00
Positions (direct):
Rh  0.2333  0.7770  0.4667
Cu  0.5143  0.4707  0.0286
Cd  0.9883  0.9533  0.9765
Cd  0.7641  0.2990  0.5282

Properties
Crystal system: monoclinic
Formation energy from the elements (eV per atom): -0.030
SG: Cm (8)

---

A PBEsol-optimized structure of NiRuBr2, computed with SCAN.

a b c (Å): 3.1052 3.9154 5.8928
angles (deg): 90.00 90.00 90.00
Site moments in Bohr magnetons follow the coordinates.
Positions (direct):
Br  0.0000  0.0000  0.0000  0.11
Br  0.5000  0.0000  0.5000  0.10
Ni  0.5000  0.5000  0.0000  1.06
Ru  0.0000  0.5000  0.5000  1.83

Properties
Crystal system: orthorhombic
SG: Pmmm (47)
ΔE_f (raw) (meV per atom): 768

---

A PBEsol-optimized structure of YSiH3, computed with SCAN.

a b c (Å): 3.9494 3.9494 3.9494
angles (deg): 90.00 90.00 90.00
Positions (direct):
Y  0.0000  0.0000  0.0000
H  0.0000  0.5000  0.0000
H  0.0000  0.0000  0.5000
H  0.5000  0.0000  0.0000
Si  0.5000  0.5000  0.5000

Properties
Crystal system: cubic
SG: Pm-3m (221)
Electronic total energy (eV for the cell shown): -46.83

---

A PBEsol-optimized structure of CaHgIN2, computed with SCAN.

a b c (Å): 4.6679 4.6679 6.2693
angles (deg): 90.00 90.00 90.00
Site moments in Bohr magnetons follow the coordinates.
Positions (direct):
I  0.0000  0.0000  0.5000  0.03
Ca  0.0000  0.0000  0.0000  0.00
Hg  0.5000  0.5000  0.5000  0.01
N  0.0000  0.5000  0.0000  1.39
N  0.5000  0.0000  0.0000  1.39

Properties
Crystal system: tetragonal
SG: P4/mmm (123)
ΔE_f (raw) (meV per atom): 882

---

A PBEsol-optimized structure of KTl2Te, computed with SCAN.

a b c (Å): 4.0867 5.4911 6.6064
angles (deg): 114.36 108.02 90.00
Positions (direct):
Tl  0.2787  0.2788  0.5574
Tl  0.7213  0.7212  0.4426
Te  0.0000  0.5000  0.0000
K  0.5000  0.0000  0.0000

Properties
Crystal system: monoclinic
SG: C2/m (12)
ΔE_f (raw) (meV per atom): -463

---

A PBEsol-optimized structure of ZrAlCuHg2, computed with SCAN.

a b c (Å): 4.4894 4.7610 4.7610
angles (deg): 90.00 90.00 90.00
Positions (direct):
Cu  0.0000  0.0000  0.0000
Hg  0.0000  0.0000  0.5000
Hg  0.0000  0.5000  0.0000
Zr  0.5000  0.5000  0.5000
Al  0.5000  0.0000  0.0000

Properties
Crystal system: tetragonal
Formation energy from the elements (eV per atom): 0.291
SG: P4/mmm (123)

---

A PBEsol-optimized structure of BaScCuAg2, computed with SCAN.

a b c (Å): 5.5077 5.5077 5.6719
angles (deg): 90.00 90.00 90.00
Positions (direct):
Sc  0.0000  0.0000  0.5000
Cu  0.5000  0.5000  0.5000
Ba  0.0000  0.0000  0.0000
Ag  0.0000  0.5000  0.0000
Ag  0.5000  0.0000  0.0000

Properties
Crystal system: tetragonal
Formation energy from the elements (eV per atom): 1.772
SG: P4/mmm (123)

---

A PBEsol-optimized structure of ZnFe2Pb, computed with SCAN.

a b c (Å): 3.2021 3.2021 5.9793
angles (deg): 90.00 90.00 90.00
Site moments in Bohr magnetons follow the coordinates.
Positions (direct):
Fe  0.0000  0.0000  0.6929  2.85
Fe  0.0000  0.0000  0.3071  2.85
Pb  0.5000  0.5000  0.0000  -0.01
Zn  0.5000  0.5000  0.5000  -0.10

Properties
Crystal system: tetragonal
Formation energy from the elements (eV per atom): 0.414
SG: P4/mmm (123)